1.
Entry from Alexandria: crystalline Ca2AgPd2 at its relaxed geometry (PBE-GGA).

Values from the calculation:
formation energy from the elements: -1.9 eV per formula unit
crystal system: tetragonal
offset from the most stable computed form: 0.2199 eV per atom

Unit cell a=5.5271 b=5.5271 c=5.6098 alpha=60.49 beta=60.49 gamma=90.00
Atoms (fractional coordinates):
1 Ca 0.7500 0.2500 0.5000
2 Ca 0.2500 0.7500 0.5000
3 Pd 0.3392 0.3392 0.3215
4 Pd 0.6608 0.6608 0.6785
5 Ag 0.0000 0.0000 0.0000

---

2.
Entry from Alexandria: crystalline Tl7Te3S at its relaxed geometry (PBE-GGA).

Values from the calculation:
crystal system: orthorhombic
E: -2.999 eV/atom

Unit cell a=9.5724 b=9.5724 c=9.8466 alpha=90.00 beta=90.00 gamma=120.13
Atoms (fractional coordinates):
1 Tl 0.0726 0.8164 0.2500
2 Tl 0.1836 0.9274 0.7500
3 Tl 0.1748 0.4460 0.4351
4 Tl 0.1748 0.4460 0.0649
5 Tl 0.5540 0.8252 0.9351
6 Tl 0.5540 0.8252 0.5649
7 Tl 0.3455 0.3455 0.7500
8 Tl 0.6545 0.6545 0.2500
9 Tl 0.4460 0.1748 0.0649
10 Tl 0.4460 0.1748 0.4351
11 Tl 0.8252 0.5540 0.9351
12 Tl 0.8252 0.5540 0.5649
13 Tl 0.8164 0.0726 0.2500
14 Tl 0.9274 0.1836 0.7500
15 Te 0.1931 0.5959 0.7500
16 Te 0.0000 0.0000 0.0000
17 Te 0.0000 0.0000 0.5000
18 Te 0.4041 0.8069 0.2500
19 Te 0.5959 0.1931 0.7500
20 Te 0.8069 0.4041 0.2500
21 S 0.5000 0.5000 0.0000
22 S 0.5000 0.5000 0.5000

---

3.
Entry from Alexandria: crystalline Si2GeBr at its relaxed geometry (PBE-GGA).

Values from the calculation:
crystal system: cubic
offset from the most stable computed form: 0.0669 eV per atom

Unit cell a=4.7545 b=4.7545 c=4.7545 alpha=60.00 beta=60.00 gamma=60.00
Atoms (fractional coordinates):
1 Ge 0.0000 0.0000 0.0000
2 Si 0.2500 0.2500 0.2500
3 Si 0.7500 0.7500 0.7500
4 Br 0.5000 0.5000 0.5000

---

4.
Entry from Alexandria: crystalline Pr2Tc3N8 at its relaxed geometry (PBE-GGA).

Values from the calculation:
crystal system: monoclinic
E: -8.423 eV/atom

Unit cell a=5.0421 b=6.5799 c=6.8029 alpha=118.92 beta=109.34 gamma=90.00
Atoms (fractional coordinates):
1 Pr 0.3511 0.2651 0.5302
2 Pr 0.6489 0.7349 0.4698
3 Tc 0.5000 0.0000 0.0000
4 Tc 0.0000 0.3056 0.0000
5 Tc 0.0000 0.6944 0.0000
6 N 0.9446 0.6110 0.2221
7 N 0.0554 0.3890 0.7779
8 N 0.8873 0.1061 0.2123
9 N 0.1127 0.8939 0.7877
10 N 0.6170 0.6808 0.8027
11 N 0.6170 0.1219 0.8027
12 N 0.3830 0.8781 0.1973
13 N 0.3830 0.3192 0.1973

---

5.
Entry from Alexandria: crystalline Zr4PdPt at its relaxed geometry (PBE-GGA).

Values from the calculation:
formation energy from the elements: 0.2 eV per formula unit
crystal system: orthorhombic
offset from the most stable computed form: 0.6473 eV per atom

Unit cell a=4.1042 b=6.1174 c=6.1174 alpha=89.53 beta=90.00 gamma=90.00
Atoms (fractional coordinates):
1 Zr 0.5000 0.3009 0.6991
2 Zr 0.0000 0.7991 0.7991
3 Zr 0.0000 0.2009 0.2009
4 Zr 0.5000 0.6991 0.3009
5 Pd 0.5000 0.0000 0.0000
6 Pt 0.0000 0.5000 0.5000

---

6.
Entry from Alexandria: crystalline Na2MgCl4 at its relaxed geometry (PBE-GGA).

Values from the calculation:
crystal system: tetragonal
offset from the most stable computed form: 0.0902 eV per atom

Unit cell a=4.9661 b=4.9661 c=7.9447 alpha=71.79 beta=71.79 gamma=90.00
Atoms (fractional coordinates):
1 Na 0.3603 0.3603 0.2794
2 Na 0.6397 0.6397 0.7206
3 Mg 0.0000 0.0000 0.0000
4 Cl 0.1728 0.1728 0.6544
5 Cl 0.8272 0.8272 0.3456
6 Cl 0.0000 0.5000 0.0000
7 Cl 0.5000 0.0000 0.0000

---

7.
Entry from Alexandria: crystalline ScCrTc3 at its relaxed geometry (PBE-GGA).

Values from the calculation:
formation energy from the elements: 3.4 eV per formula unit
crystal system: cubic
offset from the most stable computed form: 0.0000 eV per atom

Unit cell a=4.4540 b=4.4540 c=4.4540 alpha=90.00 beta=90.00 gamma=90.00
Atoms (fractional coordinates):
1 Sc 0.5000 0.5000 0.5000
2 Cr 0.0000 0.0000 0.0000
3 Tc 0.0000 0.5000 0.0000
4 Tc 0.0000 0.0000 0.5000
5 Tc 0.5000 0.0000 0.0000

---

8.
Entry from Alexandria: crystalline BaCaPb2Cl8 at its relaxed geometry (PBE-GGA).

Values from the calculation:
crystal system: monoclinic
E: -3.966 eV/atom

Unit cell a=6.7800 b=6.6678 c=9.0060 alpha=90.00 beta=90.00 gamma=89.35
Atoms (fractional coordinates):
1 Ba 0.0000 0.0000 0.5000
2 Ca 0.0000 0.0000 0.0000
3 Pb 0.5000 0.5000 0.7609
4 Pb 0.5000 0.5000 0.2391
5 Cl 0.1600 0.7717 0.2265
6 Cl 0.6756 0.7385 0.0000
7 Cl 0.8400 0.2283 0.2265
8 Cl 0.8400 0.2283 0.7735
9 Cl 0.3244 0.2615 0.0000
10 Cl 0.1600 0.7717 0.7735
11 Cl 0.6425 0.7222 0.5000
12 Cl 0.3575 0.2778 0.5000

---

9.
Entry from Alexandria: crystalline LaEuCuAs at its relaxed geometry (PBE-GGA).

Values from the calculation:
formation energy from the elements: -2.6 eV per formula unit
crystal system: cubic

Unit cell a=5.2058 b=5.2058 c=5.2058 alpha=60.00 beta=60.00 gamma=60.00
Site moments in Bohr magnetons follow the coordinates.
Atoms (fractional coordinates):
1 Eu 0.0000 0.0000 0.0000  -6.90
2 As 0.7500 0.7500 0.7500  0.05
3 Cu 0.2500 0.2500 0.2500  -0.02
4 La 0.5000 0.5000 0.5000  -0.21

---

10.
Entry from Alexandria: crystalline YTaMo2 at its relaxed geometry (PBE-GGA).

Values from the calculation:
formation energy from the elements: 0.8 eV per formula unit
crystal system: tetragonal
offset from the most stable computed form: 0.0000 eV per atom

Unit cell a=3.2140 b=3.2140 c=7.5654 alpha=90.00 beta=90.00 gamma=90.00
Atoms (fractional coordinates):
1 Mo 0.0000 0.0000 0.0503
2 Mo 0.5000 0.5000 0.2381
3 Ta 0.0000 0.0000 0.4521
4 Y 0.5000 0.5000 0.7594

---

11.
Entry from Alexandria: crystalline NaDyPb at its relaxed geometry (PBE-GGA).

Values from the calculation:
formation energy from the elements: -0.3 eV per formula unit
crystal system: tetragonal

Unit cell a=3.4898 b=3.4898 c=7.9119 alpha=102.74 beta=102.74 gamma=90.00
Site moments in Bohr magnetons follow the coordinates.
Atoms (fractional coordinates):
1 Pb 0.9470 0.9470 0.8940  -0.01
2 Na 0.6029 0.6029 0.2058  0.00
3 Dy 0.3001 0.3001 0.6001  0.09

---

12.
Entry from Alexandria: crystalline Na2NiH5 at its relaxed geometry (PBE-GGA).

Values from the calculation:
crystal system: orthorhombic
offset from the most stable computed form: 0.0912 eV per atom

Unit cell a=3.6362 b=5.5581 c=9.2802 alpha=90.00 beta=90.00 gamma=109.09
Atoms (fractional coordinates):
1 Na 0.8574 0.7149 0.4168
2 Na 0.8574 0.7149 0.0832
3 Na 0.1426 0.2851 0.5832
4 Na 0.1426 0.2851 0.9168
5 Ni 0.8374 0.6748 0.7500
6 Ni 0.1626 0.3252 0.2500
7 H 0.9422 0.8844 0.8611
8 H 0.9422 0.8844 0.6389
9 H 0.2621 0.5243 0.3694
10 H 0.2621 0.5243 0.1306
11 H 0.6629 0.3258 0.2500
12 H 0.3371 0.6742 0.7500
13 H 0.7379 0.4757 0.6306
14 H 0.7379 0.4757 0.8694
15 H 0.0578 0.1156 0.1389
16 H 0.0578 0.1156 0.3611

---

13.
Entry from Alexandria: crystalline Pr2DyTh at its relaxed geometry (PBE-GGA).

Values from the calculation:
formation energy from the elements: 0.2 eV per formula unit
crystal system: trigonal
offset from the most stable computed form: 0.0101 eV per atom

Unit cell a=3.6380 b=3.6380 c=12.0651 alpha=81.33 beta=81.33 gamma=60.00
Atoms (fractional coordinates):
1 Pr 0.7489 0.7489 0.7532
2 Pr 0.2511 0.2511 0.2468
3 Th 0.0000 0.0000 0.0000
4 Dy 0.5000 0.5000 0.5000

---

14.
Entry from Alexandria: crystalline GePt2Pb at its relaxed geometry (PBE-GGA).

Values from the calculation:
formation energy from the elements: -1.4 eV per formula unit
crystal system: orthorhombic

Unit cell a=5.5471 b=7.2099 c=16.0406 alpha=90.00 beta=90.00 gamma=90.00
Atoms (fractional coordinates):
1 Ge 0.2230 0.0563 0.9396
2 Ge 0.2230 0.5563 0.5604
3 Ge 0.7230 0.4437 0.9396
4 Ge 0.2770 0.0563 0.4396
5 Ge 0.7770 0.9437 0.0604
6 Ge 0.7770 0.4437 0.4396
7 Ge 0.2770 0.5563 0.0604
8 Ge 0.7230 0.9437 0.5604
9 Pt 0.9912 0.2598 0.8379
10 Pt 0.5088 0.7598 0.1621
11 Pt 0.4912 0.7402 0.6621
12 Pt 0.0017 0.2298 0.5426
13 Pt 0.9912 0.7598 0.6621
14 Pt 0.4912 0.2402 0.8379
15 Pt 0.5088 0.2598 0.3379
16 Pt 0.0088 0.7402 0.1621
17 Pt 0.9983 0.7702 0.4574
18 Pt 0.0017 0.7298 0.9574
19 Pt 0.5017 0.2702 0.5426
20 Pt 0.4983 0.2298 0.0426
21 Pt 0.5017 0.7702 0.9574
22 Pt 0.9983 0.2702 0.0426
23 Pt 0.4983 0.7298 0.4574
24 Pt 0.0088 0.2402 0.3379
25 Pb 0.2581 0.0940 0.6894
26 Pb 0.7581 0.9060 0.8106
27 Pb 0.2419 0.5940 0.3106
28 Pb 0.7419 0.4060 0.1894
29 Pb 0.7419 0.9060 0.3106
30 Pb 0.2419 0.0940 0.1894
31 Pb 0.7581 0.4060 0.6894
32 Pb 0.2581 0.5940 0.8106

---

15.
Entry from Alexandria: crystalline PaVTe3 at its relaxed geometry (PBE-GGA).

Values from the calculation:
crystal system: monoclinic
E: -6.055 eV/atom

Unit cell a=7.6815 b=8.5512 c=10.5252 alpha=108.38 beta=90.00 gamma=90.00
Atoms (fractional coordinates):
1 Pa 0.1712 0.3811 0.1338
2 Pa 0.3288 0.8811 0.6338
3 Pa 0.6712 0.1189 0.3662
4 Pa 0.8288 0.6189 0.8662
5 V 0.6253 0.5414 0.5148
6 V 0.8747 0.0414 0.0148
7 V 0.1253 0.9586 0.9852
8 V 0.3747 0.4586 0.4852
9 Te 0.5440 0.3731 0.2455
10 Te 0.1418 0.6474 0.4030
11 Te 0.9560 0.8731 0.7455
12 Te 0.6611 0.8239 0.4626
13 Te 0.3582 0.1474 0.9030
14 Te 0.1611 0.6761 0.0374
15 Te 0.8389 0.3239 0.9626
16 Te 0.6418 0.8526 0.0970
17 Te 0.3389 0.1761 0.5374
18 Te 0.0440 0.1269 0.2545
19 Te 0.8582 0.3526 0.5970
20 Te 0.4560 0.6269 0.7545